# 1
DFT (PBE) results for SrAl2Ru after structural relaxation.

energy of formation	-0.3291	eV/atom
calculated density	5.12	g cm⁻³

a b c (Å): 3.1802 3.1804 7.7824
angles (deg): 90.00 90.00 90.00
Atoms (fractional coordinates):
Al  0.0000  0.0000  0.0767
Al  0.0000  0.0000  0.4233
Ru  0.5000  0.5000  0.2500
Sr  0.5000  0.5000  0.7500

---

# 2
DFT (PBE) results for BaCa2MgF8 after structural relaxation.

calculated density	3.47	g cm⁻³
E_form (uncorrected)	-3730	meV per atom

a b c (Å): 4.6792 5.4110 7.4452
angles (deg): 90.00 90.00 89.84
Atoms (fractional coordinates):
F  0.1317  0.7705  0.7978
F  0.6589  0.7492  0.0000
F  0.8683  0.2295  0.2022
F  0.8684  0.2295  0.7978
F  0.3411  0.2508  0.0000
F  0.5484  0.7298  0.5000
F  0.1316  0.7705  0.2022
F  0.4516  0.2702  0.5000
Ca  0.5000  0.5000  0.2297
Ca  0.5000  0.5000  0.7703
Mg  0.0000  0.0000  0.0000
Ba  0.0000  0.0000  0.5000

---

# 3
DFT (PBE) results for NaLa3Ho2Se6 after structural relaxation.

calculated density	6.53	g cm⁻³
E_form (uncorrected)	-1830	meV per atom

a b c (Å): 7.2750 7.2750 7.3152
angles (deg): 99.54 99.54 120.06
Atoms (fractional coordinates):
Se  0.7403  0.7403  0.2283
Se  0.4152  0.0777  0.2338
Se  0.5848  0.9223  0.7662
Se  0.2597  0.2597  0.7717
Se  0.0777  0.4152  0.2338
Se  0.9223  0.5848  0.7662
Ho  0.3338  0.6662  0.0000
Ho  0.6662  0.3338  0.0000
La  0.8368  0.1632  0.5000
La  0.5000  0.5000  0.5000
La  0.1632  0.8368  0.5000
Na  0.0000  0.0000  0.0000

---

# 4
DFT (PBE) results for Er4MgGaRu2 after structural relaxation.

energy of formation	-0.3624	eV/atom
calculated density	9.44	g cm⁻³

a b c (Å): 4.9217 4.9217 8.5754
angles (deg): 73.32 73.32 60.00
Atoms (fractional coordinates):
Er  0.8736  0.8736  0.3791
Er  0.1264  0.1264  0.6209
Er  0.6231  0.6231  0.1306
Er  0.3769  0.3769  0.8694
Mg  0.0000  0.0000  0.0000
Ga  0.5000  0.5000  0.5000
Ru  0.7478  0.7478  0.7565
Ru  0.2522  0.2522  0.2435

---

# 5
DFT (PBE) results for Rb3In3Pb8 after structural relaxation.

energy of formation	-0.0875	eV/atom
calculated density	7.71	g cm⁻³

a b c (Å): 5.4773 9.9283 9.9283
angles (deg): 73.67 73.99 73.99
Atoms (fractional coordinates):
Pb  0.8724  0.4785  0.7767
Pb  0.3477  0.3575  0.9471
Pb  0.1276  0.2233  0.5215
Pb  0.1276  0.5215  0.2233
Pb  0.6523  0.6425  0.0529
Pb  0.3477  0.9471  0.3575
Pb  0.6523  0.0529  0.6425
Pb  0.8724  0.7767  0.4785
Rb  0.5000  0.5000  0.5000
Rb  0.2238  0.7762  0.7762
Rb  0.7762  0.2238  0.2238
In  0.0000  0.8577  0.1423
In  0.5000  0.0000  0.0000
In  0.0000  0.1423  0.8577

---

# 6
DFT (PBE) results for Ac3Pd2Au4 after structural relaxation.

energy of formation	-0.8241	eV/atom
calculated density	11.92	g cm⁻³

a b c (Å): 4.8813 6.1529 9.0160
angles (deg): 107.86 90.00 113.37
Atoms (fractional coordinates):
Pd  0.6071  0.2141  0.2830
Pd  0.3929  0.7859  0.7170
Ac  0.0000  0.0000  0.0000
Ac  0.6680  0.3360  0.6632
Ac  0.3320  0.6640  0.3368
Au  0.2811  0.5622  0.9442
Au  0.9452  0.8904  0.6176
Au  0.0548  0.1096  0.3824
Au  0.7189  0.4378  0.0558

---

# 7
DFT (PBE) results for Ce2Ho2Ni15 after structural relaxation.

energy of formation	-0.2745	eV/atom
calculated density	9.40	g cm⁻³

a b c (Å): 6.4680 6.4680 6.4680
angles (deg): 81.98 81.98 81.98
Atoms (fractional coordinates):
Ce  0.8916  0.8916  0.8916
Ce  0.1084  0.1084  0.1084
Ni  0.6801  0.3199  0.0000
Ni  0.0000  0.5000  0.0000
Ni  0.3199  0.0000  0.6801
Ni  0.6545  0.6545  0.1691
Ni  0.6545  0.1691  0.6545
Ni  0.1691  0.6545  0.6545
Ni  0.3199  0.6801  0.0000
Ni  0.0000  0.3199  0.6801
Ni  0.0000  0.0000  0.5000
Ni  0.3455  0.3455  0.8309
Ni  0.6801  0.0000  0.3199
Ni  0.5000  0.0000  0.0000
Ni  0.0000  0.6801  0.3199
Ni  0.8309  0.3455  0.3455
Ni  0.3455  0.8309  0.3455
Ho  0.6368  0.6368  0.6368
Ho  0.3632  0.3632  0.3632

---

# 8
DFT (PBE) results for LiTcBr2 after structural relaxation.

calculated density	5.17	g cm⁻³
E_form (uncorrected)	-3	meV per atom

a b c (Å): 3.3736 3.4383 7.4020
angles (deg): 97.73 90.00 90.00
Site moments in Bohr magnetons follow the coordinates.
Atoms (fractional coordinates):
Br  0.0000  0.7121  0.4778  0.02
Br  0.0000  0.7879  0.0222  0.02
Tc  0.5000  0.7500  0.7500  2.07
Li  0.5000  0.2500  0.2500  0.01

---

Number 2 is which compound? BaCa2MgF8

---

Please write out number 3 again, unchanged.
DFT (PBE) results for NaLa3Ho2Se6 after structural relaxation.

calculated density	6.53	g cm⁻³
E_form (uncorrected)	-1830	meV per atom

a b c (Å): 7.2750 7.2750 7.3152
angles (deg): 99.54 99.54 120.06
Atoms (fractional coordinates):
Se  0.7403  0.7403  0.2283
Se  0.4152  0.0777  0.2338
Se  0.5848  0.9223  0.7662
Se  0.2597  0.2597  0.7717
Se  0.0777  0.4152  0.2338
Se  0.9223  0.5848  0.7662
Ho  0.3338  0.6662  0.0000
Ho  0.6662  0.3338  0.0000
La  0.8368  0.1632  0.5000
La  0.5000  0.5000  0.5000
La  0.1632  0.8368  0.5000
Na  0.0000  0.0000  0.0000

---

Among the records above, which one has the highest calculated density? Ac3Pd2Au4